Here is a relaxed Tb2Sm3Dy2 crystal from Alexandria via LeMat-Bulk. Energies are from PBE-GGA.

Cell: 3.5832 6.1989 10.7526 Å, 95.59 90.05 106.61°
Last column: nearest neighbours and their distance in Å.
Space group P-1 (No. 2)
Unique sites:
Tb 0.2142 0.4293 0.3580 x2  4 Tb 3.57-3.58, 3 Dy 3.57-3.59, 5 Sm 3.57-3.59
Sm 0.3571 0.7152 0.9284 x2  5 Sm 3.57-3.60, 5 Dy 3.58-3.60, 2 Tb 3.59
Sm 0.5000 0.0000 0.5000 x1  6 Tb 3.57-3.59, 4 Dy 3.58, 2 Sm 3.58
Dy 0.0722 0.1441 0.7849 x2  3 Tb 3.57-3.59, 7 Sm 3.58-3.60, 2 Dy 3.58

Computed properties:
energy of formation from the pure elements: 15.4 meV/atom
size of the total moment: 0.0 μB/f.u.